(1)
5
Lattice="5.4421 0.0000 0.0000 0.0000 5.4421 0.0000 0.0000 0.0000 5.3358" Properties=species:S:1:pos:R:3 comment="KCaHg2Pt GGA-PBE optimized geometry" n_ef_per_ev_cell=2.2 formation_energy_ev_per_atom=-0.35 spacegroup="No. 123" final_energy_ev_per_atom=-2.30 pbc="T T T"
K 2.7211 2.7211 2.6679
Ca 0.0000 0.0000 2.6679
Hg 0.0000 2.7211 0.0000
Hg 2.7211 0.0000 0.0000
Pt 0.0000 0.0000 0.0000

(2)
5
Lattice="-0.6217 -0.4048 6.2639 -4.0961 -0.8589 -0.4620 1.3222 -6.1617 -0.2670" Properties=species:S:1:pos:R:3 comment="SrYI2O GGA-PBE optimized geometry" polymorph_energy_ev_per_fu=0.00 n_ef_per_ev_cell=1.9 formation_energy_uncorrected_ev_per_atom=-1.662 spacegroup="No. 123" final_energy_ev_per_atom=-4.90 pbc="T T T"
I 0.6611 -3.0809 -0.1335
I -0.3108 -0.2024 3.1319
Y 0.0000 0.0000 0.0000
O -2.0480 -0.4295 -0.2310
Sr -1.6978 -3.7127 2.7674

(3)
5
Lattice="4.4773 0.0000 0.0000 0.0000 4.4773 0.0000 0.0000 0.0000 3.4518" Properties=species:S:1:pos:R:3 comment="Mg2HRhAu GGA-PBE optimized geometry" polymorph_energy_ev_per_fu=0.00 n_ef_per_ev_cell=1.3 spacegroup="No. 123" final_energy_ev_per_atom=-3.94 pbc="T T T"
Rh 0.0000 0.0000 1.7259
Mg 0.0000 2.2386 0.0000
Mg 2.2386 0.0000 0.0000
Au 2.2386 2.2386 1.7259
H 0.0000 0.0000 0.0000

(4)
13
Lattice="-3.1486 -1.9708 4.8125 -2.4230 -0.3418 -5.5650 5.1907 -12.0102 -1.5223" Properties=species:S:1:pos:R:3 comment="Tb7Y2Ho4 GGA-PBE optimized geometry" n_ef_per_ev_cell=17.4 formation_energy_ev_per_atom=0.17 spacegroup="No. 162" final_energy_ev_per_atom=-4.72 pbc="T T T"
Tb -0.6429 -11.5762 0.0603
Tb 0.2619 -2.7465 -2.3352
Tb 0.0000 0.0000 0.0000
Tb -0.3818 -10.9900 -3.6741
Tb 0.0008 -3.3327 1.3993
Tb -2.4328 -4.1039 -0.8143
Tb 2.0518 -10.2188 -1.4606
Y -2.9067 -1.4278 1.3533
Y -2.6649 -0.8848 -2.1059
Ho 3.1485 -7.2850 -0.9234
Ho -3.5294 -7.0378 -1.3515
Ho -0.3114 -7.4329 0.5922
Ho -0.0695 -6.8899 -2.8670